Record 1
Computed, not measured: a PBEsol-optimized structure of Be2TlAu at the SCAN level of DFT.

Properties
Polymorph energy (0 for the lowest one): 0 meV/atom
Formation energy from the elements: -0.01 eV per atom
Space group: No. 38
N(E_F): 1.06 states/eV/cell

Unit cell a=4.0376 b=4.0376 c=5.0904 alpha=90.00 beta=90.00 gamma=119.95
Last column: nearest neighbours and their distance in Å.
Fractional coordinates of all 4 atoms:
Tl: 0.4255 0.5745 0.5000  2 Be 2.59
Be: 0.0251 0.9749 0.0000  3 Be 2.31-2.34, 3 Au 2.32-2.34
Be: 0.3557 0.6443 0.0000  3 Be 2.31-2.34, 3 Au 2.32-2.36
Au: 0.6936 0.3064 0.0000  6 Be 2.32-2.36

***

Record 2
Computed, not measured: a PBEsol-optimized structure of Be2TlAu at the SCAN level of DFT.

Properties
Polymorph energy (0 for the lowest one): 433 meV/atom
Formation energy from the elements: 0.43 eV per atom
Space group: No. 119
N(E_F): 1.07 states/eV/cell

Unit cell a=3.7988 b=3.7988 c=4.9356 alpha=112.63 beta=112.63 gamma=90.00
Last column: nearest neighbours and their distance in Å.
Fractional coordinates of all 4 atoms:
Au: 0.2500 0.7500 0.5000  8 Be 2.69-2.81, 4 Tl 2.81
Tl: 0.5000 0.5000 0.0000  8 Be 2.69-2.81, 4 Au 2.81
Be: 0.7500 0.2500 0.5000  4 Au 2.69, 4 Tl 2.81, 4 Be 2.81
Be: 0.0000 0.0000 0.0000  4 Tl 2.69, 4 Be 2.81, 4 Au 2.81

***

Record 3
Computed, not measured: a PBEsol-optimized structure of Be2TlAu at the SCAN level of DFT.

Properties
Polymorph energy (0 for the lowest one): 275 meV/atom
Formation energy from the elements: 0.27 eV per atom
Space group: No. 141
N(E_F): 3.83 states/eV/cell

Unit cell a=4.3316 b=4.3316 c=8.4617 alpha=104.83 beta=104.83 gamma=90.00
Last column: nearest neighbours and their distance in Å.
Fractional coordinates of all 8 atoms:
Be: 0.6250 0.8750 0.2500  2 Be 2.17, 2 Au 2.25
Be: 0.6250 0.3750 0.7500  2 Be 2.17, 2 Au 2.25
Be: 0.1250 0.3750 0.7500  2 Be 2.17, 2 Au 2.25
Be: 0.6250 0.3750 0.2500  2 Be 2.17, 2 Au 2.25
Au: 0.7500 0.2500 0.5000  4 Be 2.25
Au: 0.5000 0.5000 0.0000  4 Be 2.25
Tl: 0.2500 0.7500 0.5000  4 Au 3.06, 8 Be 3.12
Tl: 0.0000 0.0000 0.0000  4 Au 3.06, 8 Be 3.12

***

Record 4
Computed, not measured: a PBEsol-optimized structure of Be2TlAu at the SCAN level of DFT.

Properties
Polymorph energy (0 for the lowest one): 360 meV/atom
Formation energy from the elements: 0.35 eV per atom
Space group: No. 139
N(E_F): 0.91 states/eV/cell

Unit cell a=4.2388 b=4.4105 c=4.2388 alpha=61.28 beta=90.00 gamma=118.72
Last column: nearest neighbours and their distance in Å.
Fractional coordinates of all 4 atoms:
Be: 0.7500 0.5000 0.7500  4 Au 2.67, 4 Tl 2.67
Be: 0.2500 0.5000 0.2500  4 Tl 2.67, 4 Au 2.67
Au: 0.0000 0.0000 0.0000  8 Be 2.67
Tl: 0.5000 0.0000 0.5000  8 Be 2.67

***

Record 5
Computed, not measured: a PBEsol-optimized structure of BeW2Au at the SCAN level of DFT.

Properties
Formation energy from the elements: 0.38 eV per atom
Space group: No. 119
N(E_F): 2.17 states/eV/cell

Unit cell a=3.8509 b=3.8509 c=4.7763 alpha=113.77 beta=113.77 gamma=90.00
Last column: nearest neighbours and their distance in Å.
Fractional coordinates of all 4 atoms:
Au: 0.5000 0.5000 0.0000  8 W 2.72-2.75, 4 Be 2.75
W: 0.7500 0.2500 0.5000  4 Be 2.72, 4 W 2.75, 4 Au 2.75
W: 0.0000 0.0000 0.0000  4 Au 2.72, 4 W 2.75, 4 Be 2.75
Be: 0.2500 0.7500 0.5000  8 W 2.72-2.75, 4 Au 2.75

***

Record 6
Computed, not measured: a PBEsol-optimized structure of BeW3Au at the SCAN level of DFT.

Properties
Formation energy from the elements: 3.07 eV per atom
Space group: No. 221
N(E_F): 5.25 states/eV/cell

Unit cell a=4.7658 b=4.7658 c=4.7658 alpha=90.00 beta=90.00 gamma=90.00
Last column: nearest neighbours and their distance in Å.
Fractional coordinates of all 5 atoms:
W: 0.0000 0.0000 0.5000  2 Au 2.38
W: 0.0000 0.5000 0.0000  2 Au 2.38
W: 0.5000 0.0000 0.0000  2 Au 2.38
Au: 0.0000 0.0000 0.0000  6 W 2.38
Be: 0.5000 0.5000 0.5000  12 W 3.37

***

Record 7
Computed, not measured: a PBEsol-optimized structure of BeW4Au at the SCAN level of DFT.

Properties
Formation energy from the elements: 0.86 eV per atom
Space group: No. 216
N(E_F): 4.29 states/eV/cell

Unit cell a=5.1996 b=5.1996 c=5.1996 alpha=60.00 beta=60.00 gamma=60.00
Last column: nearest neighbours and their distance in Å.
Fractional coordinates of all 6 atoms:
W: 0.3741 0.8778 0.3741  6 W 2.58-2.62
W: 0.8778 0.3741 0.3741  6 W 2.58-2.62
W: 0.3741 0.3741 0.8778  6 W 2.58-2.62
W: 0.3741 0.3741 0.3741  6 W 2.58-2.62
Be: 0.0000 0.0000 0.0000  12 W 3.05, 4 Au 3.18
Au: 0.7500 0.7500 0.7500  12 W 3.05, 4 Be 3.18

***

Record 8
Computed, not measured: a PBEsol-optimized structure of BeW2Au at the SCAN level of DFT.

Properties
Formation energy from the elements: 0.36 eV per atom
Space group: No. 8
N(E_F): 1.56 states/eV/cell

Unit cell a=2.6733 b=4.6617 c=4.9729 alpha=94.26 beta=90.00 gamma=106.66
Last column: nearest neighbours and their distance in Å.
Fractional coordinates of all 4 atoms:
W: 0.2477 0.4955 0.7731  5 W 2.56-2.81, 2 Be 2.66, 3 Au 2.80-2.84
W: 0.0020 0.0040 0.0078  5 W 2.56-2.81, 3 Be 2.63-2.72, 2 Au 2.72
Au: 0.5044 0.0087 0.4848  3 Be 2.57-2.87, 2 Au 2.67, 5 W 2.72-2.84
Be: 0.7459 0.4918 0.2343  3 Au 2.57-2.87, 5 W 2.63-2.72, 2 Be 2.67

***

Number 1: E_tot -37.56 eV per atom. Number 2: E_tot -37.13 eV per atom. Number 3: E_tot -37.29 eV per atom. Number 4: E_tot -37.20 eV per atom. Number 5: E_tot -52.84 eV per atom. Number 6: E_tot -53.45 eV per atom. Number 7: E_tot -57.85 eV per atom. Number 8: E_tot -52.86 eV per atom.